1.
Below is ScCu2W after structural relaxation, with properties calculated at the PBEsol level.

a = 2.7606 Å, b = 2.7606 Å, c = 7.6468 Å
α = 90.00°, β = 90.00°, γ = 90.00°
Space group P4mm (No. 99)
One atom of each set of equivalent atoms:
Sc  0.0000  0.0000  0.0000 (multiplicity 1)
Cu  0.0000  0.0000  0.5341 (multiplicity 1)
Cu  0.5000  0.5000  0.7357 (multiplicity 1)
W  0.5000  0.5000  0.2966 (multiplicity 1)

Properties
- Fermi-level density of states: 3.2 states/eV per cell
- ΔH_f (0 K): 142 meV per atom
- M_tot: 0.00 μB/f.u.
- Electronic total energy: -7.13 eV/atom

=====

2.
Below is ScCu2W after structural relaxation, with properties calculated at the PBEsol level.

a = 3.7532 Å, b = 3.7532 Å, c = 8.2548 Å
α = 90.00°, β = 90.00°, γ = 90.00°
Space group I-4m2 (No. 119)
One atom of each set of equivalent atoms:
Sc  0.0000  0.0000  0.0000 (multiplicity 2)
Cu  0.0000  0.0000  0.5000 (multiplicity 2)
Cu  0.0000  0.5000  0.7500 (multiplicity 2)
W  0.0000  0.5000  0.2500 (multiplicity 2)

Properties
- Fermi-level density of states: 9.4 states/eV per cell
- ΔH_f (0 K): 336 meV per atom
- M_tot: 0.00 μB/f.u.
- Electronic total energy: -6.93 eV/atom

=====

3.
Below is YScCu2 after structural relaxation, with properties calculated at the PBEsol level.

a = 6.6381 Å, b = 6.6381 Å, c = 6.6381 Å
α = 90.00°, β = 90.00°, γ = 90.00°
Space group Fm-3m (No. 225)
One atom of each set of equivalent atoms:
Y  0.0000  0.0000  0.0000 (multiplicity 4)
Sc  0.0000  0.0000  0.5000 (multiplicity 4)
Cu  0.2500  0.2500  0.2500 (multiplicity 8)

Properties
- Fermi-level density of states: 9.7 states/eV per cell
- ΔH_f (0 K): -224 meV per atom
- M_tot: 0.00 μB/f.u.
- Electronic total energy: -5.75 eV/atom

=====

4.
Below is Y2ScCu after structural relaxation, with properties calculated at the PBEsol level.

a = 3.4656 Å, b = 5.0627 Å, c = 10.7659 Å
α = 90.00°, β = 90.00°, γ = 90.00°
Space group Imm2 (No. 44)
One atom of each set of equivalent atoms:
Y  0.0000  0.0000  0.0000 (multiplicity 2)
Y  0.0000  0.5000  0.2096 (multiplicity 2)
Sc  0.0000  0.5000  0.7974 (multiplicity 2)
Cu  0.0000  0.0000  0.4874 (multiplicity 2)

Properties
- Fermi-level density of states: 10.7 states/eV per cell
- ΔH_f (0 K): -71 meV per atom
- M_tot: 0.00 μB/f.u.
- Electronic total energy: -6.22 eV/atom

=====

5.
Below is Y2ScCu after structural relaxation, with properties calculated at the PBEsol level.

a = 3.4032 Å, b = 3.4032 Å, c = 8.1986 Å
α = 90.00°, β = 90.00°, γ = 90.00°
Space group P4/mmm (No. 123)
One atom of each set of equivalent atoms:
Y  0.0000  0.0000  0.2096 (multiplicity 2)
Sc  0.5000  0.5000  0.5000 (multiplicity 1)
Cu  0.5000  0.5000  0.0000 (multiplicity 1)

Properties
- Fermi-level density of states: 6.7 states/eV per cell
- ΔH_f (0 K): -58 meV per atom
- M_tot: 0.01 μB/f.u.
- Electronic total energy: -6.20 eV/atom

=====

6.
Below is YSc2Cu after structural relaxation, with properties calculated at the PBEsol level.

a = 3.4376 Å, b = 4.8873 Å, c = 10.3632 Å
α = 90.00°, β = 90.00°, γ = 90.00°
Space group Imm2 (No. 44)
One atom of each set of equivalent atoms:
Y  0.0000  0.0000  0.0000 (multiplicity 2)
Sc  0.0000  0.0000  0.4161 (multiplicity 2)
Sc  0.0000  0.5000  0.2111 (multiplicity 2)
Cu  0.0000  0.5000  0.7226 (multiplicity 2)

Properties
- Fermi-level density of states: 10.8 states/eV per cell
- ΔH_f (0 K): -38 meV per atom
- M_tot: 0.00 μB/f.u.
- Electronic total energy: -6.13 eV/atom

=====

7.
Below is Y2ScCu after structural relaxation, with properties calculated at the PBEsol level.

a = 5.0717 Å, b = 5.0717 Å, c = 3.5956 Å
α = 90.00°, β = 90.00°, γ = 90.00°
Space group P4/mmm (No. 123)
One atom of each set of equivalent atoms:
Y  0.0000  0.5000  0.0000 (multiplicity 2)
Sc  0.0000  0.0000  0.5000 (multiplicity 1)
Cu  0.5000  0.5000  0.5000 (multiplicity 1)

Properties
- Fermi-level density of states: 5.0 states/eV per cell
- ΔH_f (0 K): 71 meV per atom
- M_tot: 0.00 μB/f.u.
- Electronic total energy: -6.07 eV/atom

=====

8.
Below is YSc2Cu after structural relaxation, with properties calculated at the PBEsol level.

a = 3.2889 Å, b = 3.2889 Å, c = 8.1127 Å
α = 90.00°, β = 90.00°, γ = 90.00°
Space group P4mm (No. 99)
One atom of each set of equivalent atoms:
Y  0.0000  0.0000  0.0000 (multiplicity 1)
Sc  0.0000  0.0000  0.4117 (multiplicity 1)
Sc  0.5000  0.5000  0.6914 (multiplicity 1)
Cu  0.5000  0.5000  0.2355 (multiplicity 1)

Properties
- Fermi-level density of states: 6.5 states/eV per cell
- ΔH_f (0 K): -67 meV per atom
- M_tot: 0.00 μB/f.u.
- Electronic total energy: -6.16 eV/atom